# 1
# Ta4Ag3

An optimized crystal structure of Ta4Ag3 (PBE, Alexandria).

a b c (Å): 3.4220 3.4220 21.7381
angles (deg): 90.00 90.00 90.00
Space group I4/mmm (No. 139)
Symmetry-distinct sites (fractional):
Ta 0.0000 0.0000 0.0745 (multiplicity 4)
Ta 0.0000 0.0000 0.3595 (multiplicity 4)
Ag 0.0000 0.0000 0.2163 (multiplicity 4)
Ag 0.0000 0.0000 0.5000 (multiplicity 2)

## Properties
Its formation energy is 0.342 eV per atom.

# 2
# TaAg4

An optimized crystal structure of TaAg4 (PBE, Alexandria).

a b c (Å): 5.1601 5.1601 5.1601
angles (deg): 90.00 90.00 90.00
Space group Pm-3m (No. 221)
Symmetry-distinct sites (fractional):
Ta 0.0000 0.0000 0.0000 (multiplicity 1)
Ag 0.0000 0.0000 0.5000 (multiplicity 3)
Ag 0.5000 0.5000 0.5000 (multiplicity 1)

## Properties
Its formation energy is 1.498 eV per atom. The calculation puts the energy relative to the lowest polymorph listed for this composition at 1106.9 meV per atom.

# 3
# TaAg4

An optimized crystal structure of TaAg4 (PBE, Alexandria).

a b c (Å): 3.7215 3.7215 13.9765
angles (deg): 90.00 90.00 90.00
Space group I4/mmm (No. 139)
Symmetry-distinct sites (fractional):
Ta 0.0000 0.0000 0.0000 (multiplicity 2)
Ag 0.0000 0.0000 0.4038 (multiplicity 4)
Ag 0.0000 0.5000 0.2500 (multiplicity 4)

## Properties
Its formation energy is 0.695 eV per atom. The calculation puts the energy relative to the lowest polymorph listed for this composition at 303.6 meV per atom.

# 4
# TaAg

An optimized crystal structure of TaAg (PBE, Alexandria).

a b c (Å): 4.1359 4.1359 8.3918
angles (deg): 90.00 90.00 90.00
Space group I4_1/amd (No. 141, origin choice 2)
Symmetry-distinct sites (fractional):
Ta 0.0000 0.2500 0.3750 (multiplicity 4)
Ag 0.0000 0.2500 0.8750 (multiplicity 4)

## Properties
Its formation energy is 0.521 eV per atom.

# 5
# Ta3Ag

An optimized crystal structure of Ta3Ag (PBE, Alexandria).

a b c (Å): 4.1348 4.1348 8.4818
angles (deg): 90.00 90.00 90.00
Space group I4/mmm (No. 139)
Symmetry-distinct sites (fractional):
Ta 0.0000 0.0000 0.0000 (multiplicity 2)
Ta 0.0000 0.5000 0.2500 (multiplicity 4)
Ag 0.0000 0.0000 0.5000 (multiplicity 2)

## Properties
Its formation energy is 0.295 eV per atom. The calculation puts the energy relative to the lowest polymorph listed for this composition at 178.8 meV per atom.

# 6
# TaAg

An optimized crystal structure of TaAg (PBE, Alexandria).

a b c (Å): 5.1019 4.8645 5.7690
angles (deg): 90.00 90.00 90.00
Space group Pnma (No. 62)
Symmetry-distinct sites (fractional):
Ta 0.1111 0.2500 0.1387 (multiplicity 4)
Ag 0.0894 0.2500 0.6320 (multiplicity 4)

## Properties
Its formation energy is 0.537 eV per atom.

# 7
# Ta3Ag2

An optimized crystal structure of Ta3Ag2 (PBE, Alexandria).

a b c (Å): 2.8663 2.8663 38.0586
angles (deg): 90.00 90.00 120.00
Space group R-3m (No. 166, hexagonal axes)
Symmetry-distinct sites (fractional):
Ta 0.0000 0.0000 0.0000 (multiplicity 3)
Ta 0.0000 0.0000 0.2010 (multiplicity 6)
Ag 0.0000 0.0000 0.3993 (multiplicity 6)

## Properties
Its formation energy is 0.322 eV per atom.

# 8
# TaAg

An optimized crystal structure of TaAg (PBE, Alexandria).

a b c (Å): 4.5545 4.5545 5.3951
angles (deg): 90.00 90.00 120.00
Space group P6_3/mmc (No. 194)
Symmetry-distinct sites (fractional):
Ta 0.3333 0.6667 0.2500 (multiplicity 2)
Ag 0.3333 0.6667 0.7500 (multiplicity 2)

## Properties
Its formation energy is 1.762 eV per atom.